Density functional theory data (PBEsol) for a relaxed structure of MgBi2Au.

Unit cell a=10.8813 b=10.8813 c=10.8813 alpha=156.08 beta=156.08 gamma=34.09
Closest atoms and distances in Å follow each position.
Positions (direct):
Mg 0.0000 0.0000 0.0000  4 Bi 3.08, 4 Au 3.19
Mg 0.7500 0.2500 0.5000  4 Bi 3.08, 4 Au 3.19
Bi 0.1416 0.6250 0.0166  2 Au 3.02, 2 Mg 3.08, 4 Bi 3.09-3.30
Bi 0.3750 0.3916 0.5166  2 Au 3.02, 2 Mg 3.08, 4 Bi 3.09-3.30
Bi 0.6084 0.1250 0.9834  2 Au 3.02, 2 Mg 3.08, 4 Bi 3.09-3.30
Bi 0.8750 0.8584 0.4834  2 Au 3.02, 2 Mg 3.08, 4 Bi 3.09-3.30
Au 0.2500 0.7500 0.5000  4 Bi 3.02, 4 Mg 3.19
Au 0.5000 0.5000 0.0000  4 Bi 3.02, 4 Mg 3.19

Results
**SG**: No. 122
**D(E_F)**: 3.5 states/eV per cell
**Electronic total energy**: -3.562 eV per atom
**Magnetic moment**: 0.000 Bohr magnetons per cell
**Energy relative to the elements**: -0.009 eV per atom